Record 1
## Nd2TaGe3Rh4 (PBE)

Data for a relaxed Nd2TaGe3Rh4 crystal. Values from VASP.

Structure (Quantum ESPRESSO input):
```
&SYSTEM
  ibrav = 0, nat = 10, ntyp = 4
/
ATOMIC_SPECIES
Rh 102.91 Rh.upf
Ge 72.64 Ge.upf
Ta 180.95 Ta.upf
Nd 144.24 Nd.upf
CELL_PARAMETERS angstrom
-1.0494 2.6567 3.1038
1.4025 -2.7755 2.8499
9.6284 4.3684 -0.4839
ATOMIC_POSITIONS angstrom
Rh 5.6167 4.1147 1.2432
Rh 4.1882 0.1943 1.2497
Rh 0.0000 0.0000 0.0000
Rh 0.1766 -0.0594 2.9768
Ge 4.8142 2.1842 -0.2419
Ge 7.8822 5.1426 1.1294
Ge 1.9228 -0.8335 1.3636
Ta 4.9908 2.1248 2.7349
Nd 8.0005 1.9240 1.0581
Nd 1.8044 2.3851 1.4348
```

Symmetry   No. 115
DFT formation energy   -806 meV/atom
Electronic total energy   -0.2672 Ha/atom
Total moment   0.00 μB per formula unit

***

Record 2
## SrLa2CdNi (PBE)

Data for a relaxed SrLa2CdNi crystal. Values from VASP.

Structure (Quantum ESPRESSO input):
```
&SYSTEM
  ibrav = 0, nat = 5, ntyp = 4
/
ATOMIC_SPECIES
Cd 112.41 Cd.upf
Ni 58.69 Ni.upf
La 138.91 La.upf
Sr 87.62 Sr.upf
CELL_PARAMETERS angstrom
5.5009 0.0000 0.0000
0.0000 5.5009 0.0000
0.0000 0.0000 5.3058
ATOMIC_POSITIONS angstrom
Cd 0.0000 0.0000 2.6529
Ni 0.0000 0.0000 0.0000
La 2.7504 0.0000 0.0000
La 0.0000 2.7504 0.0000
Sr 2.7504 2.7504 2.6529
```

Symmetry   No. 123
DFT formation energy   -107 meV/atom
Offset from the most stable computed form   0.0 meV per atom
Electronic total energy   -0.1380 Ha/atom
Total moment   0.00 μB per formula unit

***

Copy entry 2 word for word.
## SrLa2CdNi (PBE)

Data for a relaxed SrLa2CdNi crystal. Values from VASP.

Structure (Quantum ESPRESSO input):
```
&SYSTEM
  ibrav = 0, nat = 5, ntyp = 4
/
ATOMIC_SPECIES
Cd 112.41 Cd.upf
Ni 58.69 Ni.upf
La 138.91 La.upf
Sr 87.62 Sr.upf
CELL_PARAMETERS angstrom
5.5009 0.0000 0.0000
0.0000 5.5009 0.0000
0.0000 0.0000 5.3058
ATOMIC_POSITIONS angstrom
Cd 0.0000 0.0000 2.6529
Ni 0.0000 0.0000 0.0000
La 2.7504 0.0000 0.0000
La 0.0000 2.7504 0.0000
Sr 2.7504 2.7504 2.6529
```

Symmetry   No. 123
DFT formation energy   -107 meV/atom
Offset from the most stable computed form   0.0 meV per atom
Electronic total energy   -0.1380 Ha/atom
Total moment   0.00 μB per formula unit

***

Question: Number 1 is which compound?
Answer: Nd2TaGe3Rh4

***

Question: The lowest electronic total energy belongs to which entry?
Answer: Nd2TaGe3Rh4